[1]
# Al2Cu3O6, relaxed, DFT PBE
# Total DFT energy (no corrections) (eV/f.u.): -64.8
# Formation energy from raw total energies (eV per atom): -1.39
# Energy above the lowest structure with this stoichiometry (eV per formula unit): 0.59
# Fermi-level density of states (states/eV/cell): 8.6
data_Al2Cu3O6
_cell_length_a 11.788
_cell_length_b 2.854
_cell_length_c 7.335
_cell_angle_alpha 90.00
_cell_angle_beta 110.69
_cell_angle_gamma 90.00
_space_group_name_H-M_alt 'C 1 2/m 1'
_space_group_IT_number 12
_space_group_name_Hall '-C 2y'
loop_
_atom_site_label
_atom_site_type_symbol
_atom_site_fract_x
_atom_site_fract_y
_atom_site_fract_z
_atom_site_occupancy
Al1 Al 0.184 0.000 0.314 1
Cu1 Cu 0.000 0.500 0.500 1
Cu2 Cu 0.129 0.000 0.839 1
O1 O 0.019 0.000 0.163 1
O2 O 0.155 0.500 0.477 1
O3 O 0.220 0.500 0.176 1



[2]
# Pm4Sn2Te, relaxed, DFT PBE
# Total DFT energy (no corrections) (eV/f.u.): -35.1
# Formation energy from raw total energies (eV per atom): -0.71
# Fermi-level density of states (states/eV/cell): 12.7
data_Pm4Sn2Te
_cell_length_a 6.646
_cell_length_b 6.497
_cell_length_c 10.141
_cell_angle_alpha 90.00
_cell_angle_beta 92.88
_cell_angle_gamma 90.00
_space_group_name_H-M_alt 'P 1 21/m 1'
_space_group_IT_number 11
_space_group_name_Hall '-P 2yb'
loop_
_atom_site_label
_atom_site_type_symbol
_atom_site_fract_x
_atom_site_fract_y
_atom_site_fract_z
_atom_site_occupancy
Pm1 Pm 0.077 0.250 0.149 1
Pm2 Pm 0.145 0.750 0.447 1
Pm3 Pm 0.398 0.006 0.729 1
Sn1 Sn 0.297 0.250 0.445 1
Sn2 Sn 0.444 0.750 0.000 1
Te1 Te 0.019 0.250 0.840 1



[3]
# CeY2Tm5, relaxed, DFT PBE
# Total DFT energy (no corrections) (eV/f.u.): -40.9
# Energy above the lowest structure with this stoichiometry (eV per formula unit): 0.00
# Fermi-level density of states (states/eV/cell): 25.5
data_CeY2Tm5
_cell_length_a 7.036
_cell_length_b 7.036
_cell_length_c 9.885
_cell_angle_alpha 90.00
_cell_angle_beta 90.00
_cell_angle_gamma 90.00
_space_group_name_H-M_alt 'I 4/m m m'
_space_group_IT_number 139
_space_group_name_Hall '-I 4 2'
loop_
_atom_site_label
_atom_site_type_symbol
_atom_site_fract_x
_atom_site_fract_y
_atom_site_fract_z
_atom_site_occupancy
Ce1 Ce 0.000 0.000 0.000 1
Y1 Y 0.000 0.500 0.000 1
Tm1 Tm 0.000 0.000 0.500 1
Tm2 Tm 0.250 0.250 0.250 1



[4]
# LiTiAlGa, relaxed, DFT PBE
# Total DFT energy (no corrections) (eV/f.u.): -17.9
# Fermi-level density of states (states/eV/cell): 1.7
data_LiTiAlGa
_cell_length_a 3.844
_cell_length_b 3.964
_cell_length_c 4.021
_cell_angle_alpha 90.00
_cell_angle_beta 90.00
_cell_angle_gamma 90.00
_space_group_name_H-M_alt 'P m m m'
_space_group_IT_number 47
_space_group_name_Hall '-P 2 2'
loop_
_atom_site_label
_atom_site_type_symbol
_atom_site_fract_x
_atom_site_fract_y
_atom_site_fract_z
_atom_site_occupancy
Li1 Li 0.000 0.000 0.000 1
Ti1 Ti 0.000 0.500 0.500 1
Al1 Al 0.500 0.500 0.000 1
Ga1 Ga 0.500 0.000 0.500 1



[5]
# Ce4HgC2, relaxed, DFT PBE
# Total DFT energy (no corrections) (eV/f.u.): -43.1
# Energy above the lowest structure with this stoichiometry (eV per formula unit): 0.74
# Fermi-level density of states (states/eV/cell): 84.4
data_Ce4HgC2
_cell_length_a 9.054
_cell_length_b 11.369
_cell_length_c 12.702
_cell_angle_alpha 90.00
_cell_angle_beta 90.00
_cell_angle_gamma 90.00
_space_group_name_H-M_alt 'F d d d'
_space_group_IT_number 70
loop_
_space_group_symop_operation_xyz
'x,y,z'
'-x,-y,-z'
'-x+1/4,-y+1/4,z'
'x+1/4,y+1/4,-z'
'x,-y+1/4,-z+1/4'
'-x,y+1/4,z+1/4'
'-x+1/4,y,-z+1/4'
'x+1/4,-y,z+1/4'
'x,y+1/2,z+1/2'
'-x,-y+1/2,-z+1/2'
'-x+1/4,-y+3/4,z+1/2'
'x+1/4,y+3/4,-z+1/2'
'x,-y+3/4,-z+3/4'
'-x,y+3/4,z+3/4'
'-x+1/4,y+1/2,-z+3/4'
'x+1/4,-y+1/2,z+3/4'
'x+1/2,y,z+1/2'
'-x+1/2,-y,-z+1/2'
'-x+3/4,-y+1/4,z+1/2'
'x+3/4,y+1/4,-z+1/2'
'x+1/2,-y+1/4,-z+3/4'
'-x+1/2,y+1/4,z+3/4'
'-x+3/4,y,-z+3/4'
'x+3/4,-y,z+3/4'
'x+1/2,y+1/2,z'
'-x+1/2,-y+1/2,-z'
'-x+3/4,-y+3/4,z'
'x+3/4,y+3/4,-z'
'x+1/2,-y+3/4,-z+1/4'
'-x+1/2,y+3/4,z+1/4'
'-x+3/4,y+1/2,-z+1/4'
'x+3/4,-y+1/2,z+1/4'
loop_
_atom_site_label
_atom_site_type_symbol
_atom_site_fract_x
_atom_site_fract_y
_atom_site_fract_z
_atom_site_occupancy
Ce1 Ce 0.028 0.288 0.450 1
Hg1 Hg 0.125 0.125 0.625 1
C1 C 0.000 0.000 0.000 1



[6]
# AcDy3Ho7, relaxed, DFT PBE
# Total DFT energy (no corrections) (eV/f.u.): -47.6
# Energy above the lowest structure with this stoichiometry (eV per formula unit): 0.72
# Fermi-level density of states (states/eV/cell): 17.6
data_AcDy3Ho7
_cell_length_a 7.0772
_cell_length_b 7.0772
_cell_length_c 8.6531
_cell_angle_alpha 90.00
_cell_angle_beta 90.00
_cell_angle_gamma 120.00
_space_group_name_H-M_alt 'P 3 m 1'
_space_group_IT_number 156
_space_group_name_Hall 'P 3 -2"'
loop_
_atom_site_label
_atom_site_type_symbol
_atom_site_fract_x
_atom_site_fract_y
_atom_site_fract_z
_atom_site_occupancy
Ac1 Ac 0.0000 0.0000 0.0000 1
Dy1 Dy 0.1685 0.3370 0.6594 1
Ho1 Ho 0.0026 0.5013 0.9999 1
Ho2 Ho 0.3334 0.1667 0.3330 1
Ho3 Ho 0.3333 0.6667 0.3294 1



[7]
# Ni2GeHPt, relaxed, DFT PBE
# Total DFT energy (no corrections) (eV/f.u.): -26.3
# Energy above the lowest structure with this stoichiometry (eV per formula unit): 0.00
# Fermi-level density of states (states/eV/cell): 2.9
data_Ni2GeHPt
_cell_length_a 3.770
_cell_length_b 3.770
_cell_length_c 3.845
_cell_angle_alpha 90.00
_cell_angle_beta 90.00
_cell_angle_gamma 90.00
_space_group_name_H-M_alt 'P 4/m m m'
_space_group_IT_number 123
_space_group_name_Hall '-P 4 2'
loop_
_atom_site_label
_atom_site_type_symbol
_atom_site_fract_x
_atom_site_fract_y
_atom_site_fract_z
_atom_site_occupancy
Ni1 Ni 0.000 0.500 0.000 1
Ge1 Ge 0.000 0.000 0.500 1
H1 H 0.500 0.500 0.000 1
Pt1 Pt 0.500 0.500 0.500 1



[8]
# TlTePbBr, relaxed, DFT PBE
# Total DFT energy (no corrections) (eV/f.u.): -13.2
# Formation energy from raw total energies (eV per atom): -0.59
# Energy above the lowest structure with this stoichiometry (eV per formula unit): 0.00
data_TlTePbBr
_cell_length_a 4.5983
_cell_length_b 4.5983
_cell_length_c 24.3239
_cell_angle_alpha 90.00
_cell_angle_beta 90.00
_cell_angle_gamma 120.00
_space_group_name_H-M_alt 'R 3 m'
_space_group_IT_number 160
_space_group_name_Hall 'R 3 -2"'
loop_
_atom_site_label
_atom_site_type_symbol
_atom_site_fract_x
_atom_site_fract_y
_atom_site_fract_z
_atom_site_occupancy
Tl1 Tl 0.0000 0.0000 0.0000 1
Te1 Te 0.0000 0.0000 0.5772 1
Pb1 Pb 0.0000 0.0000 0.1733 1
Br1 Br 0.0000 0.0000 0.7587 1



[9]
# CoAsHSe2, relaxed, DFT PBE
# Total DFT energy (no corrections) (eV/f.u.): -18.3
# Energy above the lowest structure with this stoichiometry (eV per formula unit): 0.00
# Fermi-level density of states (states/eV/cell): 6.4
data_CoAsHSe2
_cell_length_a 4.751
_cell_length_b 4.751
_cell_length_c 3.430
_cell_angle_alpha 90.00
_cell_angle_beta 90.00
_cell_angle_gamma 90.00
_space_group_name_H-M_alt 'P 4/m m m'
_space_group_IT_number 123
_space_group_name_Hall '-P 4 2'
loop_
_atom_site_label
_atom_site_type_symbol
_atom_site_fract_x
_atom_site_fract_y
_atom_site_fract_z
_atom_site_occupancy
Co1 Co 0.000 0.000 0.000 1
As1 As 0.500 0.500 0.000 1
H1 H 0.500 0.500 0.500 1
Se1 Se 0.000 0.500 0.500 1



[10]
# Cs3Au2F9, relaxed, DFT PBE
# Total DFT energy (no corrections) (eV/f.u.): -51.0
# Formation energy from raw total energies (eV per atom): -1.79
# Fermi-level density of states (states/eV/cell): 2.0
data_Cs3Au2F9
_cell_length_a 6.4219
_cell_length_b 6.4219
_cell_length_c 8.1010
_cell_angle_alpha 90.00
_cell_angle_beta 90.00
_cell_angle_gamma 120.00
_space_group_name_H-M_alt 'P -3 m 1'
_space_group_IT_number 164
_space_group_name_Hall '-P 3 2"'
loop_
_atom_site_label
_atom_site_type_symbol
_atom_site_fract_x
_atom_site_fract_y
_atom_site_fract_z
_atom_site_occupancy
Cs1 Cs 0.0000 0.0000 0.0000 1
Cs2 Cs 0.3333 0.6667 0.3677 1
Au1 Au 0.3333 0.6667 0.8537 1
F1 F 0.0000 0.5000 0.0000 1
F2 F 0.1787 0.3574 0.7052 1



[11]
# Li3As, relaxed, DFT PBE
# Total DFT energy (no corrections) (eV/f.u.): -11.7
# Fermi-level density of states (states/eV/cell): 2.1
data_Li3As
_cell_length_a 8.8870
_cell_length_b 8.8870
_cell_length_c 2.8074
_cell_angle_alpha 90.00
_cell_angle_beta 90.00
_cell_angle_gamma 120.00
_space_group_name_H-M_alt 'R -3 m'
_space_group_IT_number 166
_space_group_name_Hall '-R 3 2"'
loop_
_atom_site_label
_atom_site_type_symbol
_atom_site_fract_x
_atom_site_fract_y
_atom_site_fract_z
_atom_site_occupancy
Li1 Li 0.0000 0.5000 0.0000 1
As1 As 0.0000 0.0000 0.0000 1



[12]
# Be2VGa, relaxed, DFT PBE
# Total DFT energy (no corrections) (eV/f.u.): -20.3
# Fermi-level density of states (states/eV/cell): 1.4
data_Be2VGa
_cell_length_a 3.586
_cell_length_b 3.586
_cell_length_c 3.453
_cell_angle_alpha 90.00
_cell_angle_beta 90.00
_cell_angle_gamma 90.00
_space_group_name_H-M_alt 'P 4/m m m'
_space_group_IT_number 123
_space_group_name_Hall '-P 4 2'
loop_
_atom_site_label
_atom_site_type_symbol
_atom_site_fract_x
_atom_site_fract_y
_atom_site_fract_z
_atom_site_occupancy
Be1 Be 0.000 0.500 0.000 1
V1 V 0.000 0.000 0.500 1
Ga1 Ga 0.500 0.500 0.500 1